Record 1
Below is crystalline Tm2GaCu12Ni3 at its relaxed geometry, with properties calculated at the PBE level.

a = 8.4087 Å, b = 8.4087 Å, c = 12.2567 Å
α = 90.00°, β = 90.00°, γ = 120.00°
Space group R-3m (No. 166, hexagonal axes)
Symmetry-distinct sites (fractional):
Tm1 0.0000 0.0000 0.2444 [6 per cell]
Ga1 0.0000 0.0000 0.5000 [3 per cell]
Cu1 0.0131 0.5065 0.2064 [18 per cell]
Cu2 0.0466 0.5233 0.6002 [18 per cell]
Ni1 0.0000 0.5000 0.0000 [9 per cell]

Properties
magnetization	0.0000	μB/atom
total energy	-78.90	eV/f.u.
energy of formation	-23.8	meV/atom

Record 2
Below is crystalline Ti3SnHg at its relaxed geometry, with properties calculated at the PBE level.

a = 4.978 Å, b = 4.978 Å, c = 4.978 Å
α = 90.00°, β = 90.00°, γ = 90.00°
Space group Pm-3m (No. 221)
Symmetry-distinct sites (fractional):
Ti1 0.000 0.000 0.500 [3 per cell]
Sn1 0.500 0.500 0.500 [1 per cell]
Hg1 0.000 0.000 0.000 [1 per cell]

Properties
magnetization	0.3681	μB/atom
total energy	-23.90	eV/f.u.
energy of formation	818.4	meV/atom

Record 3
Below is crystalline Li2LaGa4Ir at its relaxed geometry, with properties calculated at the PBE level.

a = 4.2769 Å, b = 4.2769 Å, c = 27.6770 Å
α = 90.00°, β = 90.00°, γ = 120.00°
Space group R-3m (No. 166, hexagonal axes)
Symmetry-distinct sites (fractional):
Li1 0.0000 0.0000 0.2271 [6 per cell]
La1 0.0000 0.0000 0.0000 [3 per cell]
Ga1 0.0000 0.0000 0.1296 [6 per cell]
Ga2 0.0000 0.0000 0.4062 [6 per cell]
Ir1 0.0000 0.0000 0.5000 [3 per cell]

Properties
magnetization	0.0000	μB/atom
total energy	-33.47	eV/f.u.
energy of formation	-468.8	meV/atom

Record 4
Below is crystalline Ho2ThSc at its relaxed geometry, with properties calculated at the PBE level.

a = 3.5022 Å, b = 3.5022 Å, c = 33.7005 Å
α = 90.00°, β = 90.00°, γ = 120.00°
Space group R-3m (No. 166, hexagonal axes)
Symmetry-distinct sites (fractional):
Ho1 0.0000 0.0000 0.2482 [6 per cell]
Th1 0.0000 0.0000 0.0000 [3 per cell]
Sc1 0.0000 0.0000 0.5000 [3 per cell]

Properties
magnetization	0.0005	μB/atom
total energy	-22.69	eV/f.u.
energy of formation	53.9	meV/atom

Record 5
Below is crystalline TaHI2 at its relaxed geometry, with properties calculated at the PBE level.

a = 3.806 Å, b = 7.937 Å, c = 9.243 Å
α = 109.52°, β = 101.65°, γ = 90.07°
Space group P1 (No. 1)
Symmetry-distinct sites (fractional):
Ta1 0.000 0.000 0.000 [1 per cell]
Ta2 0.386 0.907 0.767 [1 per cell]
H1 0.481 0.093 0.960 [1 per cell]
H2 0.906 0.034 0.808 [1 per cell]
I1 0.095 0.342 0.193 [1 per cell]
I2 0.292 0.099 0.574 [1 per cell]
I3 0.546 0.788 0.094 [1 per cell]
I4 0.828 0.623 0.650 [1 per cell]

Properties
magnetization	0.0000	μB/atom
total energy	-19.22	eV/f.u.

Record 6
Below is crystalline Mg2BeIn at its relaxed geometry, with properties calculated at the PBE level.

a = 3.040 Å, b = 3.040 Å, c = 8.470 Å
α = 90.00°, β = 90.00°, γ = 90.00°
Space group P4mm (No. 99)
Symmetry-distinct sites (fractional):
Mg1 0.000 0.000 0.000 [1 per cell]
Mg2 0.500 0.500 0.287 [1 per cell]
Be1 0.000 0.000 0.493 [1 per cell]
In1 0.500 0.500 0.707 [1 per cell]

Properties
magnetization	0.0000	μB/atom
total energy	-8.70	eV/f.u.
energy of formation	237.6	meV/atom

Record 7
Below is crystalline SmFeC at its relaxed geometry, with properties calculated at the PBE level.

a = 5.586 Å, b = 3.295 Å, c = 5.601 Å
α = 90.00°, β = 108.95°, γ = 90.00°
Space group P2_1/m (No. 11)
Symmetry-distinct sites (fractional):
Sm1 0.172 0.250 0.293 [2 per cell]
Fe1 0.359 0.250 0.866 [2 per cell]
C1 0.279 0.750 0.991 [2 per cell]

Properties
magnetization	0.2110	μB/atom
total energy	-22.65	eV/f.u.
energy of formation	-80.3	meV/atom

Record 8
Below is crystalline Li3Mg2Ag3 at its relaxed geometry, with properties calculated at the PBE level.

a = 4.6447 Å, b = 4.6447 Å, c = 22.6083 Å
α = 90.00°, β = 90.00°, γ = 120.00°
Space group R3m (No. 160, hexagonal axes)
Symmetry-distinct sites (fractional):
Li1 0.0000 0.0000 0.0000 [3 per cell]
Li2 0.0000 0.0000 0.1277 [3 per cell]
Li3 0.0000 0.0000 0.6243 [3 per cell]
Mg1 0.0000 0.0000 0.3785 [3 per cell]
Mg2 0.0000 0.0000 0.8734 [3 per cell]
Ag1 0.0000 0.0000 0.2520 [3 per cell]
Ag2 0.0000 0.0000 0.5027 [3 per cell]
Ag3 0.0000 0.0000 0.7486 [3 per cell]

Properties
magnetization	0.0000	μB/atom
total energy	-19.11	eV/f.u.
energy of formation	-203.7	meV/atom

Record 9
Below is crystalline Ho4TmSc3S8 at its relaxed geometry, with properties calculated at the PBE level.

a = 7.6226 Å, b = 7.6226 Å, c = 18.6681 Å
α = 90.00°, β = 90.00°, γ = 120.00°
Space group R-3m (No. 166, hexagonal axes)
Symmetry-distinct sites (fractional):
Ho1 0.0000 0.0000 0.0000 [3 per cell]
Ho2 0.0000 0.5000 0.0000 [9 per cell]
Tm1 0.0000 0.0000 0.5000 [3 per cell]
Sc1 0.0000 0.5000 0.5000 [9 per cell]
S1 0.0000 0.0000 0.2453 [6 per cell]
S2 0.0046 0.5023 0.7536 [18 per cell]

Properties
magnetization	0.0000	μB/atom
raw formation energy	-1917	meV per atom
total energy	-105.47	eV/f.u.

Record 10
Below is crystalline CaMnGa11 at its relaxed geometry, with properties calculated at the PBE level.

a = 5.120 Å, b = 12.395 Å, c = 8.082 Å
α = 90.00°, β = 108.01°, γ = 90.00°
Space group C2/m (No. 12)
Symmetry-distinct sites (fractional):
Ca1 0.000 0.000 0.000 [2 per cell]
Mn1 0.000 0.000 0.500 [2 per cell]
Ga1 0.000 0.500 0.500 [2 per cell]
Ga2 0.119 0.390 0.235 [8 per cell]
Ga3 0.160 0.174 0.365 [8 per cell]
Ga4 0.250 0.250 0.000 [4 per cell]

Properties
magnetization	0.1976	μB/atom
total energy	-45.68	eV/f.u.
energy of formation	-93.0	meV/atom

Record 11
Below is crystalline BaHf3Pd at its relaxed geometry, with properties calculated at the PBE level.

a = 5.208 Å, b = 5.208 Å, c = 5.208 Å
α = 90.00°, β = 90.00°, γ = 90.00°
Space group Pm-3m (No. 221)
Symmetry-distinct sites (fractional):
Ba1 0.000 0.000 0.000 [1 per cell]
Hf1 0.000 0.000 0.500 [3 per cell]
Pd1 0.500 0.500 0.500 [1 per cell]

Properties
magnetization	0.0000	μB/atom
total energy	-26.30	eV/f.u.
energy of formation	2134.4	meV/atom

Record 12
Below is crystalline CoRe2Tc at its relaxed geometry, with properties calculated at the PBE level.

a = 3.831 Å, b = 3.831 Å, c = 7.528 Å
α = 90.00°, β = 90.00°, γ = 90.00°
Space group I-4m2 (No. 119)
Symmetry-distinct sites (fractional):
Co1 0.000 0.000 0.000 [2 per cell]
Re1 0.000 0.000 0.500 [2 per cell]
Re2 0.000 0.500 0.750 [2 per cell]
Tc1 0.000 0.500 0.250 [2 per cell]

Properties
magnetization	0.0004	μB/atom
total energy	-42.22	eV/f.u.
energy of formation	36.0	meV/atom